Entry from Alexandria via LeMat-Bulk: a geometry-optimized Ni2Sn2BRh4 structure (PBE).

abc: 5.587 5.587 5.587
angles: 118.30 118.30 92.96
Element x y z (fractional)
Ni (0.241, 0.241, 0.000)
Ni (0.759, 0.759, 0.000)
Sn (0.250, 0.750, 0.500)
Sn (0.750, 0.250, 0.500)
B (0.500, 0.500, 0.000)
Rh (0.245, 0.245, 0.490)
Rh (0.245, 0.755, 0.000)
Rh (0.755, 0.245, 0.000)
Rh (0.755, 0.755, 0.510)

Results
D(E_F) (states/eV per cell): 9.01
Formation enthalpy at 0 K (eV per atom): -0.381
Spin magnetization (μB per atom): 0.001
Symmetry: No. 139
Energy (eV/atom): -6.565

Entry from Alexandria via LeMat-Bulk: a geometry-optimized NiSnBRh2 structure (PBE).

abc: 4.144 4.144 3.965
angles: 90.00 90.00 90.00
Element x y z (fractional)
Ni (0.000, 0.000, 0.000)
Sn (0.500, 0.500, 0.000)
B (0.000, 0.000, 0.500)
Rh (0.000, 0.500, 0.500)
Rh (0.500, 0.000, 0.500)

Results
D(E_F) (states/eV per cell): 2.52
Formation enthalpy at 0 K (eV per atom): -0.316
Spin magnetization (μB per atom): 0.000
Symmetry: No. 123
Energy (eV/atom): -6.549

Entry from Alexandria via LeMat-Bulk: a geometry-optimized Ni2SnBRh structure (PBE).

abc: 3.956 3.956 4.121
angles: 90.00 90.00 90.00
Element x y z (fractional)
Ni (0.000, 0.500, 0.000)
Ni (0.500, 0.000, 0.000)
Sn (0.000, 0.000, 0.500)
B (0.500, 0.500, 0.000)
Rh (0.500, 0.500, 0.500)

Results
D(E_F) (states/eV per cell): 3.88
Formation enthalpy at 0 K (eV per atom): -0.226
Spin magnetization (μB per atom): 0.000
Symmetry: No. 123
Energy (eV/atom): -6.145

Entry from Alexandria via LeMat-Bulk: a geometry-optimized SrNiBRh2 structure (PBE).

abc: 4.279 4.279 4.130
angles: 90.00 90.00 90.00
Element x y z (fractional)
Sr (0.000, 0.000, 0.000)
Ni (0.500, 0.500, 0.000)
B (0.500, 0.500, 0.500)
Rh (0.000, 0.500, 0.500)
Rh (0.500, 0.000, 0.500)

Results
D(E_F) (states/eV per cell): 4.33
Formation enthalpy at 0 K (eV per atom): -0.254
Spin magnetization (μB per atom): 0.101
Symmetry: No. 123
Energy (eV/atom): -6.023